# CaTiMnO4

Crystalline CaTiMnO4 at its relaxed geometry (PBE with a Hubbard U, the Alexandria database).

a = 6.4319 Å, b = 6.4319 Å, c = 6.4319 Å
α = 122.80°, β = 120.70°, γ = 87.01°
Closest atoms and distances in Å follow each position.
Atoms (fractional coordinates):
1 Ca 0.3648 0.1148 0.2500  4 O 2.19-2.26
2 Ca 0.6352 0.8852 0.7500  4 O 2.19-2.26
3 Ti 0.0000 0.0000 0.5000  6 O 1.96-2.03
4 Ti 0.0000 0.5000 0.0000  6 O 1.96-2.03
5 Mn 0.0000 0.5000 0.5000  6 O 2.17-2.32
6 Mn 0.5000 0.5000 0.0000  6 O 2.17-2.32
7 O 0.2058 0.7471 0.4587  2 Ti 2.03, 1 Ca 2.26
8 O 0.2100 0.2283 0.5183  1 Ti 1.96, 2 Mn 2.17, 1 Ca 2.19
9 O 0.2100 0.6917 0.9817  1 Ti 1.96, 2 Mn 2.17, 1 Ca 2.19
10 O 0.2117 0.2529 0.9587  2 Ti 2.03, 1 Ca 2.26
11 O 0.7883 0.7471 0.0413  2 Ti 2.03, 1 Ca 2.26
12 O 0.7900 0.3083 0.0183  1 Ti 1.96, 2 Mn 2.17, 1 Ca 2.19
13 O 0.7900 0.7717 0.4817  1 Ti 1.96, 2 Mn 2.17, 1 Ca 2.19
14 O 0.7942 0.2529 0.5413  2 Ti 2.03, 1 Ca 2.26

- mass density (g/cm³) = 3.76
- volume (Å³/f.u.) = 91.41
- space group = Imma
- total magnetization (μB per formula unit) = 5.000
- raw total energy (eV per atom) = -7.941